No. 1
{"formula": "PuCuPb", "functional": "PBE-GGA", "state": "relaxed", "e_form_ev_per_atom": -0.01, "mass_density_g_cm3": 12.15, "total_magnetization_mub_per_fu": 5.75, "lattice": [[4.7731, 0.0000, 0.0000], [-2.3865, 4.1336, 0.0000], [0.0000, 0.0000, 3.5664]], "species": ["Pu", "Cu", "Pb"], "fractional_positions": [[0.0000, 0.0000, 0.0000], [0.3333, 0.6667, 0.5016], [0.6667, 0.3333, 0.4998]]}

No. 2
{"formula": "Ga3SbIr", "functional": "PBE-GGA", "state": "relaxed", "mass_density_g_cm3": 7.61, "total_magnetization_mub_per_fu": 0.00, "raw_formation_energy_ev_per_atom": 0.01, "lattice": [[4.8514, 0.0000, 0.0000], [0.0000, 4.8514, 0.0000], [0.0000, 0.0000, 4.8514]], "species": ["Ga", "Ga", "Ga", "Sb", "Ir"], "fractional_positions": [[0.0000, 0.0000, 0.5000], [0.0000, 0.5000, 0.0000], [0.5000, 0.0000, 0.0000], [0.5000, 0.5000, 0.5000], [0.0000, 0.0000, 0.0000]]}

No. 3
{"formula": "La2MnCu", "functional": "PBE-GGA", "state": "relaxed", "e_form_ev_per_atom": 0.06, "mass_density_g_cm3": 6.47, "total_magnetization_mub_per_fu": 2.39, "lattice": [[4.5454, 0.0000, 0.0000], [0.0000, 2.0673, 5.4079], [0.0000, -2.0673, 5.4079]], "species": ["La", "La", "Mn", "Cu"], "fractional_positions": [[0.0000, 0.0000, 0.0000], [0.5000, 0.2896, 0.2896], [0.5000, 0.5821, 0.5821], [0.0000, 0.7048, 0.7048]]}

No. 4
{"formula": "ScMn2Zn2", "functional": "PBE-GGA", "state": "relaxed", "e_form_ev_per_atom": 0.13, "mass_density_g_cm3": 6.45, "total_magnetization_mub_per_fu": 0.94, "lattice": [[-1.7498, 1.7498, 6.0082], [1.7498, -1.7498, 6.0082], [1.7498, 1.7498, -6.0082]], "species": ["Sc", "Mn", "Mn", "Zn", "Zn"], "fractional_positions": [[0.0000, 0.0000, 0.0000], [0.2500, 0.7500, 0.5000], [0.7500, 0.2500, 0.5000], [0.3970, 0.3970, 0.0000], [0.6030, 0.6030, 0.0000]]}

No. 5
{"formula": "LiAl2Ag", "functional": "PBE-GGA", "state": "relaxed", "e_form_ev_per_atom": -0.09, "mass_density_g_cm3": 4.23, "total_magnetization_mub_per_fu": 0.00, "lattice": [[2.7370, -4.1206, 0.0000], [2.7370, 4.1206, 0.0000], [0.0000, 0.0000, 2.9375]], "species": ["Li", "Al", "Al", "Ag"], "fractional_positions": [[0.0000, 0.0000, 0.0000], [0.0000, 0.5000, 0.5000], [0.5000, 0.0000, 0.5000], [0.5000, 0.5000, 0.0000]]}

No. 6
{"formula": "YIn2H2", "functional": "PBE-GGA", "state": "relaxed", "mass_density_g_cm3": 5.74, "energy_ev_per_cell": -39.08, "total_magnetization_mub_per_fu": 0.00, "lattice": [[6.3093, 0.0000, 0.0000], [0.0000, 6.3093, 0.0000], [0.0000, 0.0000, 4.6569]], "species": ["Y", "Y", "In", "In", "In", "In", "H", "H", "H", "H"], "fractional_positions": [[0.0000, 0.0000, 0.0000], [0.5000, 0.5000, 0.0000], [0.2481, 0.2519, 0.5000], [0.2519, 0.7519, 0.5000], [0.7481, 0.2481, 0.5000], [0.7519, 0.7481, 0.5000], [0.2480, 0.2520, 0.0000], [0.2520, 0.7520, 0.0000], [0.7480, 0.2480, 0.0000], [0.7520, 0.7480, 0.0000]]}

No. 7
{"formula": "NdSbSe3", "functional": "PBE-GGA", "state": "relaxed", "mass_density_g_cm3": 5.76, "total_magnetization_mub_per_fu": 0.00, "raw_formation_energy_ev_per_atom": -0.98, "lattice": [[8.6587, -2.1196, 0.0000], [8.6587, 2.1196, 0.0000], [-1.1674, 0.0000, 7.8941]], "species": ["Nd", "Nd", "Sb", "Sb", "Se", "Se", "Se", "Se", "Se", "Se"], "fractional_positions": [[0.2055, 0.2055, 0.2429], [0.7945, 0.7945, 0.7571], [0.4400, 0.4400, 0.3014], [0.5600, 0.5600, 0.6986], [0.0276, 0.0276, 0.2203], [0.1840, 0.1840, 0.6092], [0.3390, 0.3390, 0.0162], [0.6610, 0.6610, 0.9838], [0.8160, 0.8160, 0.3908], [0.9724, 0.9724, 0.7797]]}

No. 8
{"formula": "Pa2ReAg", "functional": "PBE-GGA", "state": "relaxed", "e_form_ev_per_atom": 0.19, "mass_density_g_cm3": 14.46, "total_magnetization_mub_per_fu": 0.00, "lattice": [[5.0897, 0.0000, 0.0000], [0.0000, 5.0897, 0.0000], [0.0000, 0.0000, 3.3526]], "species": ["Pa", "Pa", "Re", "Ag"], "fractional_positions": [[0.0000, 0.5000, 0.0000], [0.5000, 0.0000, 0.0000], [0.0000, 0.0000, 0.5000], [0.5000, 0.5000, 0.5000]]}